# 1
First-principles (PBE) data for an optimized crystal structure of TmMg5, as listed in Alexandria via LeMat-Bulk.

a = 8.645 Å, b = 8.645 Å, c = 5.364 Å
α = 90.00°, β = 90.00°, γ = 158.48°
Fractional positions:
1 Tm 0.221 0.779 0.500
2 Mg 0.892 0.108 0.500
3 Mg 0.335 0.665 0.000
4 Mg 0.665 0.335 0.000
5 Mg 0.001 0.999 0.000
6 Mg 0.552 0.448 0.500

Summary:
ΔE_f, kJ per mole of atoms: 0
Crystal system: orthorhombic

# 2
First-principles (PBE) data for an optimized crystal structure of Li2Mg3CuHg3, as listed in Alexandria via LeMat-Bulk.

a = 3.179 Å, b = 7.864 Å, c = 7.864 Å
α = 120.00°, β = 90.00°, γ = 90.00°
Fractional positions:
1 Hg 0.000 0.378 0.000
2 Li 0.500 0.667 0.333
3 Cu 0.000 0.000 0.000
4 Mg 0.500 0.725 0.000
5 Mg 0.500 0.275 0.275
6 Li 0.500 0.333 0.667
7 Hg 0.000 0.622 0.622
8 Hg 0.000 0.000 0.378
9 Mg 0.500 0.000 0.725

Summary:
ΔE_f, kJ per mole of atoms: -19
Crystal system: hexagonal

# 3
First-principles (PBE) data for an optimized crystal structure of Ba2HgC, as listed in Alexandria via LeMat-Bulk.

a = 7.339 Å, b = 4.473 Å, c = 18.412 Å
α = 90.00°, β = 98.68°, γ = 90.00°
Last column: magnetic moment on the atom in μB.
Fractional positions:
1 Ba 0.696 0.500 0.934  0.05
2 Hg 0.355 0.500 0.720  0.00
3 Ba 0.815 0.500 0.660  0.03
4 C 0.561 0.000 0.029  0.01
5 Ba 0.304 0.500 0.066  0.05
6 Ba 0.696 0.000 0.434  0.05
7 Ba 0.304 0.000 0.566  0.05
8 Ba 0.185 0.000 0.840  0.03
9 Hg 0.645 0.500 0.280  0.00
10 C 0.561 0.500 0.529  0.01
11 Hg 0.355 0.000 0.220  0.00
12 Ba 0.815 0.000 0.160  0.03
13 C 0.439 0.000 0.971  0.01
14 Hg 0.645 0.000 0.780  0.00
15 Ba 0.185 0.500 0.340  0.03
16 C 0.439 0.500 0.471  0.01

Summary:
ΔE_f, kJ per mole of atoms: -15
Crystal system: monoclinic
Excess energy over the best structure of this formula in the dataset, meV per atom: 35

# 4
First-principles (PBE) data for an optimized crystal structure of SnTeAu, as listed in Alexandria via LeMat-Bulk.

a = 3.032 Å, b = 3.032 Å, c = 8.957 Å
α = 99.74°, β = 99.74°, γ = 90.00°
Fractional positions:
1 Au 0.783 0.783 0.567
2 Te 0.125 0.125 0.250
3 Sn 0.942 0.942 0.883

Summary:
Uncorrected formation energy, eV/atom: 0.14
Crystal system: tetragonal